Entry 1:
! AcPr7Nd2, optimized geometry, DFT PBE; values from VASP
&SYSTEM
  ibrav = 0, nat = 10, ntyp = 3
/
ATOMIC_SPECIES
Pr 140.91 Pr.upf
Ac 227.00 Ac.upf
Nd 144.24 Nd.upf
CELL_PARAMETERS angstrom
-3.161 -5.919 1.673
6.575 -0.308 -6.720
-1.363 -2.477 10.036
ATOMIC_POSITIONS crystal
Pr 0.640 0.030 0.803
Pr 0.301 0.486 0.425
Pr 0.118 0.426 0.770
Pr 0.360 0.970 0.197
Pr 0.699 0.514 0.575
Pr 0.500 0.500 0.000
Pr 0.882 0.574 0.230
Ac 0.000 0.000 0.000
Nd 0.774 0.074 0.439
Nd 0.226 0.926 0.561
! Polymorph energy (0 for the lowest one): 0 meV per atom

Entry 2:
This record from Alexandria via LeMat-Bulk describes a relaxed structure of Ac6PrNd4. The functional is PBE. Values from VASP.

```
&SYSTEM
  ibrav = 0, nat = 11, ntyp = 3
/
ATOMIC_SPECIES
Ac 227.00 Ac.upf
Nd 144.24 Nd.upf
Pr 140.91 Pr.upf
CELL_PARAMETERS angstrom
-10.731 -0.780 3.847
6.817 -1.208 -9.091
10.028 -5.390 -0.982
ATOMIC_POSITIONS crystal
Ac 0.500 0.000 0.500
Ac 0.602 0.111 0.111
Ac 0.000 0.490 0.889
Ac 0.398 0.510 0.510
Ac 0.000 0.889 0.490
Ac 0.500 0.500 0.000
Nd 0.000 0.058 0.672
Nd 0.614 0.942 0.942
Nd 0.386 0.328 0.328
Nd 0.000 0.672 0.058
Pr 0.000 0.000 0.000
```

Entry 3:
This record from Alexandria via LeMat-Bulk describes a relaxed structure of AcPr4Nd10. The functional is PBE. Values from VASP.

```
&SYSTEM
  ibrav = 0, nat = 15, ntyp = 3
/
ATOMIC_SPECIES
Pr 140.91 Pr.upf
Nd 144.24 Nd.upf
Ac 227.00 Ac.upf
CELL_PARAMETERS angstrom
-3.113 1.369 -6.119
-2.339 -8.323 -4.677
-9.746 0.649 1.099
ATOMIC_POSITIONS crystal
Pr 0.567 0.113 0.754
Pr 0.433 0.887 0.246
Pr 0.321 0.246 0.113
Pr 0.679 0.754 0.887
Nd 0.955 0.164 0.425
Nd 0.750 0.500 0.500
Nd 0.456 0.164 0.425
Nd 0.380 0.575 0.164
Nd 0.544 0.836 0.575
Nd 0.250 0.500 0.500
Nd 0.620 0.425 0.836
Nd 0.881 0.575 0.164
Nd 0.045 0.836 0.575
Nd 0.119 0.425 0.836
Ac 0.000 0.000 0.000
```

Entry 4:
! AcPr3Nd4, optimized geometry, DFT PBE; values from VASP
&SYSTEM
  ibrav = 0, nat = 16, ntyp = 3
/
ATOMIC_SPECIES
Nd 144.24 Nd.upf
Pr 140.91 Pr.upf
Ac 227.00 Ac.upf
CELL_PARAMETERS angstrom
-3.359 -6.521 1.346
-0.582 -1.214 -7.332
9.399 -4.831 0.053
ATOMIC_POSITIONS crystal
Nd 0.500 0.811 0.500
Nd 0.754 0.061 0.250
Nd 0.000 0.811 0.000
Nd 0.246 0.561 0.750
Nd 0.000 0.311 0.500
Nd 0.500 0.311 0.000
Nd 0.754 0.061 0.750
Nd 0.246 0.561 0.250
Pr 0.000 0.311 0.000
Pr 0.246 0.061 0.750
Pr 0.000 0.811 0.500
Pr 0.754 0.561 0.750
Pr 0.246 0.061 0.250
Pr 0.754 0.561 0.250
Ac 0.500 0.311 0.500
Ac 0.500 0.811 0.000
! Polymorph energy (0 for the lowest one): 0 meV per atom

Entry 5:
! Ac2PrNd3, optimized geometry, DFT PBE; values from VASP
&SYSTEM
  ibrav = 0, nat = 12, ntyp = 3
/
ATOMIC_SPECIES
Ac 227.00 Ac.upf
Nd 144.24 Nd.upf
Pr 140.91 Pr.upf
CELL_PARAMETERS angstrom
-0.278 2.020 -3.209
-9.124 7.410 3.203
-2.900 14.492 7.123
ATOMIC_POSITIONS crystal
Ac 0.572 0.413 0.444
Ac 0.428 0.587 0.556
Ac 0.180 0.402 0.238
Ac 0.820 0.598 0.762
Nd 0.314 0.288 0.084
Nd 0.941 0.889 0.229
Nd 0.802 0.999 0.396
Nd 0.686 0.712 0.916
Nd 0.059 0.111 0.771
Nd 0.198 0.001 0.604
Pr 0.561 0.794 0.084
Pr 0.439 0.206 0.916
! Polymorph energy (0 for the lowest one): 0 meV per atom

Entry 6:
! Ac2Pr3Nd3, optimized geometry, DFT PBE; values from VASP
&SYSTEM
  ibrav = 0, nat = 16, ntyp = 3
/
ATOMIC_SPECIES
Ac 227.00 Ac.upf
Pr 140.91 Pr.upf
Nd 144.24 Nd.upf
CELL_PARAMETERS angstrom
-0.894 0.799 3.620
7.034 -5.659 0.977
11.547 14.300 -0.304
ATOMIC_POSITIONS crystal
Ac 0.251 0.502 0.400
Ac 0.749 0.498 0.600
Ac 0.749 0.498 0.900
Ac 0.251 0.502 0.100
Pr 0.592 0.184 0.462
Pr 0.408 0.816 0.538
Pr 0.367 0.734 0.250
Pr 0.408 0.816 0.962
Pr 0.592 0.184 0.038
Pr 0.633 0.266 0.750
Nd 0.954 0.908 0.377
Nd 0.954 0.908 0.123
Nd 0.046 0.092 0.623
Nd 0.397 0.794 0.750
Nd 0.603 0.206 0.250
Nd 0.046 0.092 0.877
! Polymorph energy (0 for the lowest one): 128 meV per atom

Entry 7:
This record from Alexandria via LeMat-Bulk describes a relaxed structure of AcPr14Nd. The functional is PBE. Values from VASP.

```
&SYSTEM
  ibrav = 0, nat = 16, ntyp = 3
/
ATOMIC_SPECIES
Pr 140.91 Pr.upf
Ac 227.00 Ac.upf
Nd 144.24 Nd.upf
CELL_PARAMETERS angstrom
7.487 -0.107 0.000
-3.651 6.537 0.000
0.000 0.000 12.172
ATOMIC_POSITIONS crystal
Pr 0.166 0.333 0.500
Pr 0.334 0.666 0.747
Pr 0.667 0.333 0.500
Pr 0.335 0.168 0.748
Pr 0.832 0.665 0.252
Pr 0.167 0.833 0.500
Pr 0.334 0.666 0.253
Pr 0.832 0.665 0.748
Pr 0.834 0.166 0.249
Pr 0.335 0.168 0.252
Pr 0.834 0.166 0.751
Pr 0.667 0.834 0.500
Pr 0.665 0.832 0.000
Pr 0.168 0.335 0.000
Ac 0.166 0.834 0.000
Nd 0.666 0.334 0.000
```

Entry 8:
! Ac3PrNd2, optimized geometry, DFT PBE; values from VASP
&SYSTEM
  ibrav = 0, nat = 6, ntyp = 3
/
ATOMIC_SPECIES
Nd 144.24 Nd.upf
Ac 227.00 Ac.upf
Pr 140.91 Pr.upf
CELL_PARAMETERS angstrom
3.712 0.000 0.000
0.000 6.403 0.000
-1.856 -3.202 10.372
ATOMIC_POSITIONS crystal
Nd 0.361 0.361 0.722
Nd 0.639 0.639 0.278
Ac 0.813 0.813 0.626
Ac 0.187 0.187 0.374
Ac 0.000 0.500 0.000
Pr 0.000 0.000 0.000
! Polymorph energy (0 for the lowest one): 244 meV per atom

Entry 9:
! Ac2Pr3Nd, optimized geometry, DFT PBE; values from VASP
&SYSTEM
  ibrav = 0, nat = 12, ntyp = 3
/
ATOMIC_SPECIES
Pr 140.91 Pr.upf
Nd 144.24 Nd.upf
Ac 227.00 Ac.upf
CELL_PARAMETERS angstrom
-1.139 -2.031 -2.830
5.767 1.589 -3.462
8.618 -15.145 7.405
ATOMIC_POSITIONS crystal
Pr 0.000 0.284 0.639
Pr 0.500 0.784 0.861
Pr 0.500 0.216 0.139
Pr 0.500 0.500 0.500
Pr 0.000 0.000 0.000
Pr 0.000 0.716 0.361
Nd 0.000 0.000 0.500
Nd 0.500 0.500 0.000
Ac 0.500 0.720 0.189
Ac 0.000 0.780 0.689
Ac 0.500 0.280 0.811
Ac 0.000 0.220 0.311
! Polymorph energy (0 for the lowest one): 211 meV per atom

Entry 10:
! Ac3Pr7Nd2, optimized geometry, DFT PBE; values from VASP
&SYSTEM
  ibrav = 0, nat = 12, ntyp = 3
/
ATOMIC_SPECIES
Pr 140.91 Pr.upf
Ac 227.00 Ac.upf
Nd 144.24 Nd.upf
CELL_PARAMETERS angstrom
3.793 0.000 0.000
0.000 6.162 0.298
0.000 -1.956 19.699
ATOMIC_POSITIONS crystal
Pr 0.000 0.000 0.000
Pr 0.500 0.801 0.826
Pr 0.000 0.698 0.147
Pr 0.500 0.199 0.174
Pr 0.500 0.744 0.462
Pr 0.000 0.302 0.853
Pr 0.500 0.256 0.538
Ac 0.000 0.777 0.635
Ac 0.500 0.500 0.000
Ac 0.000 0.223 0.365
Nd 0.500 0.714 0.293
Nd 0.500 0.286 0.707
! Polymorph energy (0 for the lowest one): 0 meV per atom

Entry 11:
This record from Alexandria via LeMat-Bulk describes a relaxed structure of Ac10Pr4Nd. The functional is PBE. Values from VASP.

```
&SYSTEM
  ibrav = 0, nat = 15, ntyp = 3
/
ATOMIC_SPECIES
Ac 227.00 Ac.upf
Pr 140.91 Pr.upf
Nd 144.24 Nd.upf
CELL_PARAMETERS angstrom
7.570 0.000 3.418
3.785 9.317 1.709
-0.049 0.000 10.200
ATOMIC_POSITIONS crystal
Ac 0.750 0.500 0.500
Ac 0.551 0.100 0.300
Ac 0.950 0.900 0.700
Ac 0.449 0.900 0.700
Ac 0.850 0.700 0.100
Ac 0.150 0.300 0.900
Ac 0.349 0.700 0.100
Ac 0.651 0.300 0.900
Ac 0.050 0.100 0.300
Ac 0.250 0.500 0.500
Pr 0.800 0.600 0.800
Pr 0.600 0.200 0.600
Pr 0.400 0.800 0.400
Pr 0.200 0.400 0.200
Nd 0.000 0.000 0.000
```

Entry 12:
! Ac5Pr2Nd12, optimized geometry, DFT PBE; values from VASP
&SYSTEM
  ibrav = 0, nat = 19, ntyp = 3
/
ATOMIC_SPECIES
Nd 144.24 Nd.upf
Ac 227.00 Ac.upf
Pr 140.91 Pr.upf
CELL_PARAMETERS angstrom
-6.141 6.232 1.722
-2.912 -9.970 2.614
1.277 -1.202 8.909
ATOMIC_POSITIONS crystal
Nd 0.405 0.271 0.552
Nd 0.060 0.121 0.833
Nd 0.940 0.879 0.167
Nd 0.461 0.922 0.683
Nd 0.865 0.271 0.552
Nd 0.322 0.263 0.135
Nd 0.135 0.729 0.448
Nd 0.539 0.078 0.317
Nd 0.941 0.263 0.135
Nd 0.678 0.737 0.865
Nd 0.595 0.729 0.448
Nd 0.059 0.737 0.865
Ac 0.000 0.000 0.500
Ac 0.750 0.499 0.236
Ac 0.709 0.418 0.807
Ac 0.250 0.501 0.764
Ac 0.291 0.582 0.193
Pr 0.328 0.000 0.000
Pr 0.672 0.000 0.000
! Polymorph energy (0 for the lowest one): 51 meV per atom

no.,magnetic moment (μB per atom),E_tot (eV per atom),formation energy (eV per atom)
1,0.000,-4.642,0.069
2,0.000,-4.103,0.306
3,0.000,-4.267,0.460
4,0.000,-4.671,0.019
5,0.000,-4.500,0.050
6,0.000,-4.457,0.150
7,0.000,-4.700,0.037
8,0.003,-4.102,0.338
9,0.000,-4.319,0.235
10,0.000,-4.537,0.073
11,0.000,-3.748,0.583
12,0.000,-4.408,0.188